Entry 1:
A plane-wave DFT calculation with PBE was carried out for a geometry-optimized Co3Ir12Ru structure.

Summary:
Energy relative to the elements in eV/f.u.: 0.25

a b c (Å): 3.8120 3.8120 15.2716
angles (deg): 90.00 90.00 90.00
Closest atoms and distances in Å follow each position.
Atoms (fractional coordinates):
1 Co 0.0000 0.0000 0.2546  12 Ir 2.66-2.73
2 Co 0.0000 0.0000 0.5000  12 Ir 2.69-2.70
3 Co 0.0000 0.0000 0.7454  12 Ir 2.66-2.73
4 Ir 0.5000 0.5000 0.0000  4 Ru 2.70, 8 Ir 2.71
5 Ir 0.5000 0.5000 0.2510  8 Ir 2.69-2.70, 4 Co 2.70
6 Ir 0.5000 0.5000 0.5000  8 Ir 2.69, 4 Co 2.70
7 Ir 0.5000 0.5000 0.7490  8 Ir 2.69-2.70, 4 Co 2.70
8 Ir 0.5000 0.0000 0.1264  8 Ir 2.69-2.71, 2 Ru 2.71, 2 Co 2.73
9 Ir 0.5000 0.0000 0.3759  4 Co 2.66-2.69, 8 Ir 2.69-2.70
10 Ir 0.5000 0.0000 0.6241  4 Co 2.66-2.69, 8 Ir 2.69-2.70
11 Ir 0.5000 0.0000 0.8736  8 Ir 2.69-2.71, 2 Ru 2.71, 2 Co 2.73
12 Ir 0.0000 0.5000 0.1264  8 Ir 2.69-2.71, 2 Ru 2.71, 2 Co 2.73
13 Ir 0.0000 0.5000 0.3759  4 Co 2.66-2.69, 8 Ir 2.69-2.70
14 Ir 0.0000 0.5000 0.6241  4 Co 2.66-2.69, 8 Ir 2.69-2.70
15 Ir 0.0000 0.5000 0.8736  8 Ir 2.69-2.71, 2 Ru 2.71, 2 Co 2.73
16 Ru 0.0000 0.0000 0.0000  12 Ir 2.70-2.71

Entry 2:
A plane-wave DFT calculation with PBE was carried out for a geometry-optimized Er5NpSb6 structure.

Summary:
E_form (uncorrected) in eV per atom: -0.937

a b c (Å): 7.5551 7.5551 7.5574
angles (deg): 99.59 99.59 120.00
Closest atoms and distances in Å follow each position.
Atoms (fractional coordinates):
1 Np 0.0000 0.0000 0.0000  6 Sb 3.09-3.10
2 Sb 0.4185 0.0839 0.2515  5 Er 3.08-3.09, 1 Np 3.10
3 Sb 0.9161 0.5815 0.7485  5 Er 3.08-3.09, 1 Np 3.10
4 Sb 0.2514 0.2514 0.7499  5 Er 3.08, 1 Np 3.09
5 Sb 0.7486 0.7486 0.2501  5 Er 3.08, 1 Np 3.09
6 Sb 0.0839 0.4185 0.2515  5 Er 3.08-3.09, 1 Np 3.10
7 Sb 0.5815 0.9161 0.7485  5 Er 3.08-3.09, 1 Np 3.10
8 Er 0.8340 0.1660 0.5000  6 Sb 3.08
9 Er 0.6668 0.3332 0.0000  6 Sb 3.08-3.09
10 Er 0.5000 0.5000 0.5000  6 Sb 3.08
11 Er 0.3332 0.6668 0.0000  6 Sb 3.08-3.09
12 Er 0.1660 0.8340 0.5000  6 Sb 3.08

Entry 3:
A plane-wave DFT calculation with PBE was carried out for a geometry-optimized AcPm2Y5Tm structure.

Summary:
Energy relative to the elements in eV/f.u.: 1.38

a b c (Å): 5.6844 10.3771 11.0812
angles (deg): 90.00 90.00 105.90
Closest atoms and distances in Å follow each position.
Atoms (fractional coordinates):
1 Ac 0.7933 0.5866 0.5065  8 Y 3.61-3.83, 2 Pm 3.61-3.92, 2 Tm 3.78
2 Ac 0.2067 0.4134 0.0065  8 Y 3.61-3.83, 2 Pm 3.61-3.92, 2 Tm 3.78
3 Pm 0.8855 0.7710 0.8192  9 Y 3.46-3.74
4 Pm 0.1052 0.2104 0.7372  6 Y 3.36-3.70, 1 Ac 3.61
5 Pm 0.1145 0.2290 0.3192  9 Y 3.46-3.74
6 Pm 0.8948 0.7896 0.2372  6 Y 3.36-3.70, 1 Ac 3.61
7 Y 0.3986 0.7972 0.0229  5 Y 3.42-3.77, 4 Pm 3.64-3.70, 1 Tm 3.76
8 Y 0.7126 0.4252 0.7977  1 Tm 3.16, 1 Pm 3.46, 2 Y 3.49
9 Y 0.4795 0.9589 0.7398  2 Tm 3.24-3.31, 3 Y 3.42-3.58, 2 Pm 3.52
10 Y 0.3011 0.6023 0.7068  3 Y 3.49-3.58, 2 Pm 3.53, 1 Tm 3.54, 3 Ac 3.61-3.82
11 Y 0.9822 0.9643 0.5303  2 Tm 3.22, 2 Pm 3.36-3.53
12 Y 0.6014 0.2028 0.5229  5 Y 3.42-3.77, 4 Pm 3.64-3.70, 1 Tm 3.76
13 Y 0.2874 0.5748 0.2977  1 Tm 3.16, 1 Pm 3.46, 2 Y 3.49
14 Y 0.5205 0.0411 0.2398  2 Tm 3.24-3.31, 3 Y 3.42-3.58, 2 Pm 3.52
15 Y 0.6989 0.3977 0.2068  3 Y 3.49-3.58, 2 Pm 3.53, 1 Tm 3.54, 3 Ac 3.61-3.82
16 Y 0.0178 0.0357 0.0303  2 Tm 3.22, 2 Pm 3.36-3.53
17 Tm 0.5841 0.1682 0.9635  5 Y 3.16-3.31
18 Tm 0.4159 0.8318 0.4635  5 Y 3.16-3.31

Entry 4:
A plane-wave DFT calculation with PBE was carried out for a geometry-optimized ZrIrW2 structure.

Summary:
Energy relative to the elements in eV/f.u.: -0.14
ΔE to the lowest computed polymorph in eV per formula unit: 0.376

a b c (Å): 5.2667 5.2667 4.7772
angles (deg): 75.55 75.55 32.53
Closest atoms and distances in Å follow each position.
Atoms (fractional coordinates):
1 Ir 0.2500 0.2500 0.2500  4 W 2.77, 4 Zr 2.81, 2 Ir 2.95
2 W 0.9857 0.9857 0.0226  6 W 2.70-2.95, 2 Ir 2.77, 1 Zr 3.00
3 W 0.5143 0.5143 0.4774  6 W 2.70-2.95, 2 Ir 2.77, 1 Zr 3.00
4 Zr 0.7500 0.7500 0.7500  4 Ir 2.81, 2 Zr 2.95, 6 W 3.00-3.03

Entry 5:
A plane-wave DFT calculation with PBE was carried out for a geometry-optimized SrHg4Au4 structure.

Summary:
Energy relative to the elements in eV/f.u.: -1.40

a b c (Å): 7.2704 7.2704 8.7080
angles (deg): 90.00 90.00 90.00
Closest atoms and distances in Å follow each position.
Atoms (fractional coordinates):
1 Sr 0.0000 0.0000 0.0000  4 Au 3.44, 4 Hg 3.67
2 Sr 0.5000 0.5000 0.5000  4 Au 3.44, 4 Hg 3.67
3 Hg 0.2636 0.5000 0.8717  5 Au 2.83-2.87
4 Hg 0.7364 0.5000 0.8717  5 Au 2.83-2.87
5 Hg 0.5000 0.7364 0.1283  5 Au 2.83-2.87
6 Hg 0.5000 0.2636 0.1283  5 Au 2.83-2.87
7 Hg 0.0000 0.7636 0.3717  5 Au 2.83-2.87
8 Hg 0.0000 0.2364 0.3717  5 Au 2.83-2.87
9 Hg 0.2364 0.0000 0.6283  5 Au 2.83-2.87
10 Hg 0.7636 0.0000 0.6283  5 Au 2.83-2.87
11 Au 0.5000 0.8037 0.8032  5 Hg 2.83-2.87, 1 Au 2.85
12 Au 0.5000 0.1963 0.8032  5 Hg 2.83-2.87, 1 Au 2.85
13 Au 0.8037 0.5000 0.1968  5 Hg 2.83-2.87, 1 Au 2.85
14 Au 0.1963 0.5000 0.1968  5 Hg 2.83-2.87, 1 Au 2.85
15 Au 0.3037 0.0000 0.3032  5 Hg 2.83-2.87, 1 Au 2.85
16 Au 0.6963 0.0000 0.3032  5 Hg 2.83-2.87, 1 Au 2.85
17 Au 0.0000 0.3037 0.6968  5 Hg 2.83-2.87, 1 Au 2.85
18 Au 0.0000 0.6963 0.6968  5 Hg 2.83-2.87, 1 Au 2.85

Entry 6:
A plane-wave DFT calculation with PBE was carried out for a geometry-optimized Ho3Rh4 structure.

Summary:
Energy relative to the elements in eV/f.u.: -3.98

a b c (Å): 4.6389 4.6389 8.1435
angles (deg): 73.45 73.45 60.00
Closest atoms and distances in Å follow each position.
Atoms (fractional coordinates):
1 Ho 0.2393 0.2393 0.2822  7 Rh 2.73-2.94
2 Ho 0.7607 0.7607 0.7178  7 Rh 2.73-2.94
3 Ho 0.0000 0.0000 0.0000  8 Rh 2.79-2.85
4 Rh 0.6248 0.6248 0.1257  7 Ho 2.85-3.14
5 Rh 0.8791 0.8791 0.3627  5 Ho 2.73-2.79
6 Rh 0.1209 0.1209 0.6373  5 Ho 2.73-2.79
7 Rh 0.3752 0.3752 0.8743  7 Ho 2.85-3.14